(1)
Entry from Alexandria via LeMat-Bulk: a PBEsol-optimized structure of Y3Rh (SCAN).

```
16
Lattice="-1.3421 -6.0568 -0.5441 3.2482 -1.2733 6.1620 -8.0651 1.3795 4.5365" Properties=species:S:1:pos:R:3 pbc="T T T"
Rh 0.7768 -1.1119 6.5427
Y -5.9925 -4.7750 8.8696
Y -4.3956 -3.7003 4.1811
Y -7.4055 -3.1854 5.8742
Rh -4.7882 -3.1129 6.9049
Rh -6.9357 -4.8386 3.6117
Y -2.9826 -5.2898 7.1765
Y -1.4365 -5.5686 3.9631
Rh -1.3708 -2.8376 3.2495
Y -3.4037 -2.3969 9.1484
Y 1.2465 -2.7652 4.2802
Y -2.7552 -3.5536 1.0059
Y -0.1665 -1.1756 1.2848
Y -4.7225 -0.3820 6.1912
Y -1.7634 -2.2503 5.9732
Y -3.1764 -0.6608 2.9778
```

Output
ρ: 5.95 g/cm3
energy relative to the elements: -0.60 eV per atom



(2)
Entry from Alexandria via LeMat-Bulk: a PBEsol-optimized structure of LiZr2Ga2 (SCAN).

```
10
Lattice="-0.2766 0.2695 3.9305 -2.5292 -6.3086 0.2546 6.2957 -2.4992 0.6144" Properties=species:S:1:pos:R:3 pbc="T T T"
Zr 3.6621 -2.6408 2.4231
Zr -0.1722 -5.8975 2.3765
Li 0.0000 0.0000 0.0000
Ga 1.7716 -7.0605 0.6088
Zr 0.1260 -2.3596 2.1549
Li 1.8833 -4.4039 0.4345
Ga -0.7725 -4.3050 0.2408
Ga 4.5391 -4.5029 0.6282
Zr 3.3639 -6.1787 2.6447
Ga 1.9949 -1.7473 0.2602
```

Output
ρ: 5.98 g/cm3
energy relative to the elements: -0.50 eV per atom



(3)
Entry from Alexandria via LeMat-Bulk: a PBEsol-optimized structure of Sc2GaSe (SCAN).

```
4
Lattice="-3.6970 -2.7081 1.2414 0.4211 -3.0998 3.5717 -2.2486 0.7899 4.1064" Properties=species:S:1:pos:R:3 pbc="T T T"
Ga 0.0000 0.0000 0.0000
Sc -1.3811 -1.2545 2.2299
Sc -4.1434 -3.7634 6.6896
Se -2.7622 -2.5089 4.4597
```

Output
ρ: 5.23 g/cm3
energy relative to the elements, uncorrected: -734.5 meV per atom



(4)
Entry from Alexandria via LeMat-Bulk: a PBEsol-optimized structure of Zr2TiAu (SCAN).

```
4
Lattice="-3.0423 -2.3345 -2.7943 -3.5041 -2.5570 1.9228 -4.4938 1.4775 -0.3703" Properties=species:S:1:pos:R:3 pbc="T T T"
Zr -2.7600 -0.8535 -0.3105
Au -5.5201 -1.7070 -0.6209
Ti 0.0000 0.0000 0.0000
Zr -8.2801 -2.5605 -0.9314
```

Output
ρ: 9.39 g/cm3
energy relative to the elements: -0.33 eV per atom



(5)
Entry from Alexandria via LeMat-Bulk: a PBEsol-optimized structure of Al2S3 (SCAN).

```
10
Lattice="-3.3576 0.6011 5.3101 -6.1270 -1.0195 -1.3271 3.7405 -4.9160 1.7058" Properties=species:S:1:pos:R:3 pbc="T T T"
S -3.4680 -4.7908 2.3064
S -0.6759 -2.4490 2.6309
Al -0.3575 -3.5034 6.6977
S -3.9520 -1.1958 1.4901
Al -2.1905 -0.7217 2.6891
S -2.5448 -0.2827 4.9146
S -5.4217 -2.6300 4.6170
Al -4.8502 -2.9584 2.4198
Al -0.0992 -2.8199 0.4419
S -2.1248 -3.9320 5.4900
```

Output
ρ: 2.36 g/cm3
energy relative to the elements, uncorrected: -1239.6 meV per atom



(6)
Entry from Alexandria via LeMat-Bulk: a PBEsol-optimized structure of BaMgNb2F (SCAN).

```
5
Lattice="-3.0023 1.6296 1.0074 -2.8857 -2.6971 -4.2375 -1.1760 -4.3884 3.5940" Properties=species:S:1:pos:R:3 pbc="T T T"
Ba -3.5320 -2.7280 0.1820
Nb -1.4429 -1.3486 -2.1187
Mg 0.0000 0.0000 0.0000
Nb -0.5880 -2.1942 1.7970
F -1.5012 0.8148 0.5037
```

Output
ρ: 5.09 g/cm3
energy relative to the elements, uncorrected: 631.9 meV per atom



(7)
Entry from Alexandria via LeMat-Bulk: a PBEsol-optimized structure of TlRhI2O (SCAN).

```
5
Lattice="3.9693 0.0000 0.0000 0.0000 5.9124 0.0000 0.0000 0.0000 5.9124" Properties=species:S:1:pos:R:3 pbc="T T T"
I 0.0000 0.0000 2.9562
I 0.0000 2.9562 0.0000
Rh 1.9847 2.9562 2.9562
Tl 0.0000 0.0000 0.0000
O 1.9847 0.0000 0.0000
```

Output
ρ: 6.91 g/cm3
energy relative to the elements, uncorrected: 583.2 meV per atom



(8)
Entry from Alexandria via LeMat-Bulk: a PBEsol-optimized structure of Co2CuNi (SCAN).

```
4
Lattice="2.4509 0.0000 0.0000 1.2254 2.1225 0.0000 1.2254 0.7075 8.1470" Properties=species:S:1:pos:R:3 pbc="T T T"
Ni 0.0000 0.0000 0.0000
Co 3.6763 2.1225 6.1573
Cu 2.4509 1.4150 4.0735
Co 1.2254 0.7075 1.9898
```

Output
ρ: 9.41 g/cm3
relative energy among the computed polymorphs: 13 kJ/mol of formula units
energy relative to the elements: 0.09 eV per atom



(9)
Entry from Alexandria via LeMat-Bulk: a PBEsol-optimized structure of Be2AsCl (SCAN).

```
4
Lattice="-1.9313 1.4176 -2.3679 -0.6770 -3.0389 1.1287 -3.7755 2.5524 4.6074" Properties=species:S:1:pos:R:3 pbc="T T T"
As -0.9656 0.7088 -1.1840
Cl -2.8534 1.9850 1.1197
Be -2.9434 1.9898 3.5919
Be -0.8322 0.5626 1.0155
```

Output
ρ: 3.43 g/cm3
energy relative to the elements, uncorrected: 193.3 meV per atom



(10)
Entry from Alexandria via LeMat-Bulk: a PBEsol-optimized structure of LaTcAg2 (SCAN).

```
4
Lattice="4.0166 0.0000 0.0000 0.0000 4.0166 0.0000 -2.0083 -2.0083 4.7242" Properties=species:S:1:pos:R:3 pbc="T T T"
Tc 0.0000 0.0000 0.0000
La 2.0083 2.0083 0.0000
Ag 2.0083 0.0000 2.3621
Ag 0.0000 2.0083 2.3621
```

Output
ρ: 9.86 g/cm3
relative energy among the computed polymorphs: 0 kJ/mol of formula units
energy relative to the elements: 0.30 eV per atom



(11)
Entry from Alexandria via LeMat-Bulk: a PBEsol-optimized structure of CaSbPt2 (SCAN).

```
4
Lattice="-0.9806 3.0882 -1.7555 0.2447 -2.1767 -3.9657 -4.3638 -0.9612 0.7467" Properties=species:S:1:pos:R:3 pbc="T T T"
Pt 0.1224 -1.0883 -1.9829
Pt -2.1819 -0.4806 0.3733
Ca -2.5499 -0.0248 -2.4873
Sb -0.4903 1.5441 -0.8778
```

Output
ρ: 12.17 g/cm3
energy relative to the elements, uncorrected: -659.0 meV per atom



(12)
Entry from Alexandria via LeMat-Bulk: a PBEsol-optimized structure of Ag2TeCl (SCAN).

```
4
Lattice="3.5944 0.0355 0.0000 -0.0359 3.6007 0.0000 0.0000 0.0000 6.9228" Properties=species:S:1:pos:R:3 pbc="T T T"
Te 1.7793 1.8181 1.1803
Ag 1.7793 1.8181 5.2943
Cl 0.0000 0.0000 4.0780
Ag 0.0000 0.0000 6.7543
```

Output
ρ: 7.02 g/cm3
energy relative to the elements, uncorrected: -220.6 meV per atom
relative energy among the computed polymorphs: 16 kJ/mol of formula units



> What is the ρ in the fifth record?

2.36 g/cm3



> The highest ρ belongs to which entry?

CaSbPt2



> The highest ρ belongs to which entry?

CaSbPt2



> Among the records above, which one has the lowest ρ?

Al2S3